No. 1
A relaxed ScTiHg2 crystal. Source: Alexandria via LeMat-Bulk, functional PBEsol.

Results
Calculated formation energy, eV per atom: -0.284
Total moment, μB/cell: 1.268
Space group: Fm-3m

Lattice parameters (Å, degrees): 4.7901 4.7901 4.7901 60.00 60.00 60.00
With the nearest neighbours (Å) after each atom.
Fractional positions:
Hg (0.2500, 0.2500, 0.2500)  4 Sc 2.93, 4 Ti 2.93
Hg (0.7500, 0.7500, 0.7500)  4 Sc 2.93, 4 Ti 2.93
Sc (0.0000, 0.0000, 0.0000)  8 Hg 2.93
Ti (0.5000, 0.5000, 0.5000)  8 Hg 2.93

=====

No. 2
A relaxed BaTlHg2 crystal. Source: Alexandria via LeMat-Bulk, functional PBEsol.

Results
Calculated formation energy, eV per atom: -0.344
Total moment, μB/cell: 0.000
Space group: P2/m

Lattice parameters (Å, degrees): 4.0254 4.0288 7.2674 90.00 89.70 90.00
With the nearest neighbours (Å) after each atom.
Fractional positions:
Hg (0.9978, 0.0000, 0.7763)  1 Hg 3.25, 4 Tl 3.27-3.29, 4 Ba 3.48-3.49
Hg (0.0022, 0.0000, 0.2237)  1 Hg 3.25, 4 Tl 3.27-3.29, 4 Ba 3.48-3.49
Tl (0.5000, 0.5000, 0.0000)  8 Hg 3.27-3.29, 2 Ba 3.63
Ba (0.5000, 0.5000, 0.5000)  8 Hg 3.48-3.49, 2 Tl 3.63

=====

No. 3
A relaxed Zr5CuPb3 crystal. Source: Alexandria via LeMat-Bulk, functional PBEsol.

Results
Calculated formation energy, eV per atom: -0.356
Total moment, μB/cell: 0.001
Space group: P6_3/mcm

Lattice parameters (Å, degrees): 5.8698 8.6710 8.6710 120.00 90.00 90.00
With the nearest neighbours (Å) after each atom.
Fractional positions:
Pb (0.7500, 0.6132, 0.0000)  9 Zr 2.96-3.14
Pb (0.7500, 0.0000, 0.6132)  9 Zr 2.96-3.14
Pb (0.2500, 0.0000, 0.3868)  9 Zr 2.96-3.14
Pb (0.2500, 0.3868, 0.0000)  9 Zr 2.96-3.14
Pb (0.2500, 0.6132, 0.6132)  9 Zr 2.96-3.14
Pb (0.7500, 0.3868, 0.3868)  9 Zr 2.96-3.14
Zr (0.2500, 0.7417, 0.0000)  2 Cu 2.68, 2 Pb 2.96
Zr (0.7500, 0.2583, 0.0000)  2 Cu 2.68, 2 Pb 2.96
Zr (0.7500, 0.0000, 0.2583)  2 Cu 2.68, 2 Pb 2.96
Zr (0.7500, 0.7417, 0.7417)  2 Cu 2.68, 2 Pb 2.96
Zr (0.2500, 0.2583, 0.2583)  2 Cu 2.68, 2 Pb 2.96
Zr (0.0000, 0.3333, 0.6667)  2 Zr 2.93, 6 Pb 3.06
Zr (0.5000, 0.3333, 0.6667)  2 Zr 2.93, 6 Pb 3.06
Zr (0.5000, 0.6667, 0.3333)  2 Zr 2.93, 6 Pb 3.06
Zr (0.2500, 0.0000, 0.7417)  2 Cu 2.68, 2 Pb 2.96
Zr (0.0000, 0.6667, 0.3333)  2 Zr 2.93, 6 Pb 3.06
Cu (0.5000, 0.0000, 0.0000)  6 Zr 2.68, 2 Cu 2.93
Cu (0.0000, 0.0000, 0.0000)  6 Zr 2.68, 2 Cu 2.93

=====

No. 4
A relaxed AlZnGe2Ru crystal. Source: Alexandria via LeMat-Bulk, functional PBEsol.

Results
Calculated formation energy, eV per atom: 1.177
Total moment, μB/cell: 0.682
Space group: P4/mmm

Lattice parameters (Å, degrees): 4.5222 4.5658 4.5658 90.00 90.00 90.00
With the nearest neighbours (Å) after each atom.
Fractional positions:
Ge (0.0000, 0.5000, 0.0000)  2 Zn 2.28
Ge (0.0000, 0.0000, 0.5000)  2 Zn 2.28
Zn (0.0000, 0.0000, 0.0000)  2 Al 2.26, 4 Ge 2.28
Ru (0.5000, 0.5000, 0.5000)  8 Ge 3.21, 4 Al 3.23
Al (0.5000, 0.0000, 0.0000)  2 Zn 2.26

=====

No. 5
A relaxed Tl2InFe crystal. Source: Alexandria via LeMat-Bulk, functional PBEsol.

Results
Calculated formation energy, eV per atom: 0.330
Total moment, μB/cell: 2.426
Space group: P4mm

Lattice parameters (Å, degrees): 3.1091 3.1091 9.0815 90.00 90.00 90.00
With the nearest neighbours (Å) after each atom.
Fractional positions:
In (0.5000, 0.5000, 0.6929)  4 Fe 2.75
Tl (0.0000, 0.0000, 0.9908)  4 Tl 3.11
Tl (0.5000, 0.5000, 0.3052)  4 Fe 2.89, 4 Tl 3.11
Fe (0.0000, 0.0000, 0.5111)  4 In 2.75, 4 Tl 2.89

=====

No. 6
A relaxed ScAsP crystal. Source: Alexandria via LeMat-Bulk, functional PBEsol.

Results
Calculated formation energy, eV per atom: -0.377
Total moment, μB/cell: 0.000
Space group: F-43m

Lattice parameters (Å, degrees): 4.3630 4.3630 4.3630 60.00 60.00 60.00
With the nearest neighbours (Å) after each atom.
Fractional positions:
Sc (0.0000, 0.0000, 0.0000)  4 P 2.67
As (0.5000, 0.5000, 0.5000)  4 P 2.67
P (0.2500, 0.2500, 0.2500)  4 Sc 2.67, 4 As 2.67

=====

No. 7
A relaxed Zr2TeSe crystal. Source: Alexandria via LeMat-Bulk, functional PBEsol.

Results
Formation energy (no corrections), eV per atom: -1.116
Total moment, μB/cell: 0.000
Space group: P4mm

Lattice parameters (Å, degrees): 3.6710 3.6710 6.4621 90.00 90.00 90.00
With the nearest neighbours (Å) after each atom.
Fractional positions:
Se (0.0000, 0.0000, 0.4218)  5 Zr 2.73-2.78
Te (0.5000, 0.5000, 0.7927)  6 Zr 2.90-3.24
Zr (0.0000, 0.0000, 0.9922)  1 Se 2.78, 4 Te 2.90
Zr (0.5000, 0.5000, 0.2933)  4 Se 2.73

=====

No. 8
A relaxed In2BiH crystal. Source: Alexandria via LeMat-Bulk, functional PBEsol.

Results
Total moment, μB/cell: 0.000
Space group: I-42d
Calculated total energy, eV for the cell shown: -24.93

Lattice parameters (Å, degrees): 5.5214 5.5214 7.4872 111.64 111.64 90.00
With the nearest neighbours (Å) after each atom.
Fractional positions:
In (0.1250, 0.2652, 0.7500)  2 H 2.20
In (0.6250, 0.4848, 0.7500)  2 H 2.20
In (0.7348, 0.3750, 0.2500)  2 H 2.20
In (0.5152, 0.8750, 0.2500)  2 H 2.20
H (0.5000, 0.5000, 0.0000)  4 In 2.20
H (0.7500, 0.2500, 0.5000)  4 In 2.20
Bi (0.2500, 0.7500, 0.5000)  4 In 3.02
Bi (0.0000, 0.0000, 0.0000)  4 In 3.02

=====

No. 9
A relaxed KSc2Se crystal. Source: Alexandria via LeMat-Bulk, functional PBEsol.

Results
Formation energy (no corrections), eV per atom: -0.199
Total moment, μB/cell: 0.001
Space group: P2/m

Lattice parameters (Å, degrees): 3.6778 4.5547 6.5940 90.00 104.25 90.00
With the nearest neighbours (Å) after each atom.
Fractional positions:
Sc (0.3523, 0.0000, 0.1866)  2 Se 2.71, 1 Sc 2.92
Sc (0.6477, 0.0000, 0.8134)  2 Se 2.71, 1 Sc 2.92
Se (0.5000, 0.5000, 0.0000)  4 Sc 2.71
K (0.0000, 0.5000, 0.5000)  2 Se 3.36, 8 Sc 3.53-3.56, 2 K 3.68

=====

No. 10
A relaxed K2Se3 crystal. Source: Alexandria via LeMat-Bulk, functional PBEsol.

Results
Formation energy (no corrections), eV per atom: -0.795
Total moment, μB/cell: 0.000
Space group: Cmc2_1

Lattice parameters (Å, degrees): 6.4365 6.4365 7.4448 90.00 90.00 109.15
With the nearest neighbours (Å) after each atom.
Fractional positions:
Se (0.0893, 0.4155, 0.4966)  1 Se 2.42
Se (0.7878, 0.2122, 0.6894)  2 Se 2.42
Se (0.9107, 0.5845, 0.9966)  1 Se 2.42
Se (0.5845, 0.9107, 0.4966)  1 Se 2.42
Se (0.4155, 0.0893, 0.9966)  1 Se 2.42
Se (0.2122, 0.7878, 0.1894)  2 Se 2.42
K (0.4134, 0.5866, 0.8493)  7 Se 3.30-3.41
K (0.0944, 0.9056, 0.6304)  8 Se 3.25-3.51
K (0.5866, 0.4134, 0.3493)  7 Se 3.30-3.41
K (0.9056, 0.0944, 0.1304)  8 Se 3.25-3.51

=====

No. 11
A relaxed ZnB3Pb crystal. Source: Alexandria via LeMat-Bulk, functional PBEsol.

Results
Calculated formation energy, eV per atom: 2.578
Total moment, μB/cell: 0.000
Space group: Pm-3m

Lattice parameters (Å, degrees): 4.6083 4.6083 4.6083 90.00 90.00 90.00
With the nearest neighbours (Å) after each atom.
Fractional positions:
Zn (0.5000, 0.5000, 0.5000)  12 B 3.26
Pb (0.0000, 0.0000, 0.0000)  6 B 2.30
B (0.0000, 0.0000, 0.5000)  2 Pb 2.30
B (0.5000, 0.0000, 0.0000)  2 Pb 2.30
B (0.0000, 0.5000, 0.0000)  2 Pb 2.30

=====

No. 12
A relaxed TiGaCuCl2 crystal. Source: Alexandria via LeMat-Bulk, functional PBEsol.

Results
Formation energy (no corrections), eV per atom: -0.061
Total moment, μB/cell: 0.814
Space group: P4/mmm

Lattice parameters (Å, degrees): 4.5260 4.5260 5.5237 90.00 90.00 90.00
With the nearest neighbours (Å) after each atom.
Fractional positions:
Ga (0.0000, 0.0000, 0.5000)  2 Ti 2.76
Cu (0.5000, 0.5000, 0.5000)  4 Ga 3.20, 8 Cl 3.57
Ti (0.0000, 0.0000, 0.0000)  4 Cl 2.26
Cl (0.5000, 0.0000, 0.0000)  2 Ti 2.26
Cl (0.0000, 0.5000, 0.0000)  2 Ti 2.26

=====

No. 13
A relaxed AlAs4Rh crystal. Source: Alexandria via LeMat-Bulk, functional PBEsol.

Results
Calculated formation energy, eV per atom: 0.584
Total moment, μB/cell: 0.001
Space group: F-43m

Lattice parameters (Å, degrees): 5.3606 5.3606 5.3606 60.00 60.00 60.00
With the nearest neighbours (Å) after each atom.
Fractional positions:
As (0.1224, 0.6259, 0.6259)  6 As 2.66-2.70
As (0.6259, 0.6259, 0.6259)  6 As 2.66-2.70
As (0.6259, 0.6259, 0.1224)  6 As 2.66-2.70
As (0.6259, 0.1224, 0.6259)  6 As 2.66-2.70
Al (0.0000, 0.0000, 0.0000)  12 As 3.14, 4 Rh 3.28
Rh (0.2500, 0.2500, 0.2500)  12 As 3.14, 4 Al 3.28

=====

No. 14
A relaxed ScSi3Pd crystal. Source: Alexandria via LeMat-Bulk, functional PBEsol.

Results
Formation energy (no corrections), eV per atom: 0.354
Total moment, μB/cell: 0.000
Space group: Pm-3m

Lattice parameters (Å, degrees): 4.6439 4.6439 4.6439 90.00 90.00 90.00
With the nearest neighbours (Å) after each atom.
Fractional positions:
Si (0.5000, 0.0000, 0.0000)  2 Pd 2.32
Si (0.0000, 0.5000, 0.0000)  2 Pd 2.32
Si (0.0000, 0.0000, 0.5000)  2 Pd 2.32
Pd (0.0000, 0.0000, 0.0000)  6 Si 2.32
Sc (0.5000, 0.5000, 0.5000)  12 Si 3.28

=====

No. 15
A relaxed CsAgRu2 crystal. Source: Alexandria via LeMat-Bulk, functional PBEsol.

Results
Calculated formation energy, eV per atom: 1.734
Total moment, μB/cell: 0.028
Space group: Fm-3m

Lattice parameters (Å, degrees): 4.6498 4.6498 4.6498 60.00 60.00 60.00
With the nearest neighbours (Å) after each atom.
Fractional positions:
Ag (0.0000, 0.0000, 0.0000)  8 Ru 2.85
Cs (0.5000, 0.5000, 0.5000)  8 Ru 2.85
Ru (0.2500, 0.2500, 0.2500)  4 Ag 2.85, 4 Cs 2.85
Ru (0.7500, 0.7500, 0.7500)  4 Cs 2.85, 4 Ag 2.85

=====

No. 16
A relaxed HfRePt2 crystal. Source: Alexandria via LeMat-Bulk, functional PBEsol.

Results
Calculated formation energy, eV per atom: -0.171
Total moment, μB/cell: 0.112
Space group: Fm-3m

Lattice parameters (Å, degrees): 4.5158 4.5158 4.5158 60.00 60.00 60.00
With the nearest neighbours (Å) after each atom.
Fractional positions:
Re (0.5000, 0.5000, 0.5000)  8 Pt 2.77
Hf (0.0000, 0.0000, 0.0000)  8 Pt 2.77
Pt (0.2500, 0.2500, 0.2500)  4 Hf 2.77, 4 Re 2.77
Pt (0.7500, 0.7500, 0.7500)  4 Re 2.77, 4 Hf 2.77

=====

No. 17
A relaxed Cd8Ag crystal. Source: Alexandria via LeMat-Bulk, functional PBEsol.

Results
Calculated formation energy, eV per atom: 0.003
Total moment, μB/cell: 0.000
Space group: I4/mmm

Lattice parameters (Å, degrees): 4.3227 6.8185 6.8185 84.23 71.52 71.52
With the nearest neighbours (Å) after each atom.
Fractional positions:
Cd (0.6637, 0.6727, 0.0000)  10 Cd 2.99-3.11, 2 Ag 3.03
Cd (0.0000, 0.6700, 0.3300)  1 Ag 3.02, 11 Cd 3.04-3.11
Cd (0.3363, 0.3273, 0.0000)  10 Cd 2.99-3.11, 2 Ag 3.03
Cd (0.3300, 0.6700, 0.6700)  1 Ag 3.02, 11 Cd 3.04-3.11
Cd (0.0000, 0.3300, 0.6700)  1 Ag 3.02, 11 Cd 3.04-3.11
Cd (0.3363, 0.0000, 0.3273)  10 Cd 2.99-3.11, 2 Ag 3.03
Cd (0.6700, 0.3300, 0.3300)  1 Ag 3.02, 11 Cd 3.04-3.11
Cd (0.6637, 0.0000, 0.6727)  10 Cd 2.99-3.11, 2 Ag 3.03
Ag (0.0000, 0.0000, 0.0000)  12 Cd 3.02-3.03

=====

No. 18
A relaxed TmInNi crystal. Source: Alexandria via LeMat-Bulk, functional PBEsol.

Results
Calculated formation energy, eV per atom: -0.549
Total moment, μB/cell: 0.000
Space group: P-62m

Lattice parameters (Å, degrees): 3.7160 7.2468 7.2468 120.00 90.00 90.00
With the nearest neighbours (Å) after each atom.
Fractional positions:
Tm (0.5000, 0.4102, 0.4102)  5 Ni 2.87-2.97, 6 In 3.05-3.20
Tm (0.5000, 0.0000, 0.5898)  5 Ni 2.87-2.97, 6 In 3.05-3.20
Tm (0.5000, 0.5898, 0.0000)  5 Ni 2.87-2.97, 6 In 3.05-3.20
Ni (0.0000, 0.6667, 0.3333)  3 In 2.74, 6 Tm 2.87
Ni (0.0000, 0.3333, 0.6667)  3 In 2.74, 6 Tm 2.87
Ni (0.5000, 0.0000, 0.0000)  6 In 2.62
In (0.0000, 0.0000, 0.2558)  4 Ni 2.62-2.74
In (0.0000, 0.2558, 0.0000)  4 Ni 2.62-2.74
In (0.0000, 0.7442, 0.7442)  4 Ni 2.62-2.74

=====

No. 19
A relaxed ZrCoSb2 crystal. Source: Alexandria via LeMat-Bulk, functional PBEsol.

Results
Formation energy (no corrections), eV per atom: 0.009
Total moment, μB/cell: 0.535
Space group: Fm-3m

Lattice parameters (Å, degrees): 4.7621 4.7621 4.7621 60.00 60.00 60.00
With the nearest neighbours (Å) after each atom.
Fractional positions:
Sb (0.7500, 0.7500, 0.7500)  4 Co 2.92, 4 Zr 2.92
Sb (0.2500, 0.2500, 0.2500)  4 Zr 2.92, 4 Co 2.92
Co (0.0000, 0.0000, 0.0000)  8 Sb 2.92
Zr (0.5000, 0.5000, 0.5000)  8 Sb 2.92

=====

No. 20
A relaxed NbFeCoNi2 crystal. Source: Alexandria via LeMat-Bulk, functional PBEsol.

Results
Calculated formation energy, eV per atom: 1.005
Total moment, μB/cell: 5.474
Space group: P4/mmm

Lattice parameters (Å, degrees): 4.1550 4.1491 4.1491 90.00 90.00 90.00
With the nearest neighbours (Å) after each atom.
Fractional positions:
Co (0.0000, 0.0000, 0.0000)  4 Ni 2.07, 2 Fe 2.08
Ni (0.0000, 0.0000, 0.5000)  2 Co 2.07
Ni (0.0000, 0.5000, 0.0000)  2 Co 2.07
Nb (0.5000, 0.5000, 0.5000)  4 Fe 2.93, 8 Ni 2.94
Fe (0.5000, 0.0000, 0.0000)  2 Co 2.08